No. 1
Computed, not measured: ScBO2F after structural relaxation at the PBE level of DFT.

a = 4.0992 Å, b = 4.0992 Å, c = 4.0595 Å
α = 90.00°, β = 90.00°, γ = 90.00°
Sites, in units of the cell vectors:
Sc  0.0000  0.0000  0.0000
B  0.5000  0.5000  0.5000
O  0.0000  0.5000  0.0000
O  0.5000  0.0000  0.0000
F  0.0000  0.0000  0.5000

Values from the calculation:
**Raw formation energy**: -5.2 eV/f.u.
**Volume**: 13.643 A^3/atom


No. 2
Computed, not measured: BSeOF2 after structural relaxation at the PBE level of DFT.

a = 4.4499 Å, b = 4.4499 Å, c = 3.7709 Å
α = 90.00°, β = 90.00°, γ = 90.00°
Sites, in units of the cell vectors:
B  0.5000  0.5000  0.5000
O  0.0000  0.0000  0.5000
Se  0.0000  0.0000  0.0000
F  0.0000  0.5000  0.0000
F  0.5000  0.0000  0.0000

Values from the calculation:
**Raw formation energy**: 1.0 eV/f.u.
**Volume**: 14.934 A^3/atom
**Relative energy among the computed polymorphs**: 1105 meV/atom


No. 3
Computed, not measured: BSeOF2 after structural relaxation at the PBE level of DFT.

a = 4.6303 Å, b = 4.6303 Å, c = 2.6233 Å
α = 90.00°, β = 90.00°, γ = 90.00°
Sites, in units of the cell vectors:
B  0.0000  0.0000  0.0000
O  0.0000  0.0000  0.5000
Se  0.5000  0.5000  0.5000
F  0.0000  0.5000  0.0000
F  0.5000  0.0000  0.0000

Values from the calculation:
**Raw formation energy**: -4.6 eV/f.u.
**Volume**: 11.248 A^3/atom
**Relative energy among the computed polymorphs**: 0 meV/atom


No. 4
Computed, not measured: SiBOF2 after structural relaxation at the PBE level of DFT.

a = 4.0258 Å, b = 4.0258 Å, c = 3.3808 Å
α = 90.00°, β = 90.00°, γ = 90.00°
Sites, in units of the cell vectors:
Si  0.0000  0.0000  0.0000
B  0.5000  0.5000  0.5000
O  0.0000  0.0000  0.5000
F  0.0000  0.5000  0.0000
F  0.5000  0.0000  0.0000

Values from the calculation:
**Raw formation energy**: -3.6 eV/f.u.
**Volume**: 10.958 A^3/atom
**Relative energy among the computed polymorphs**: 389 meV/atom


No. 5
Computed, not measured: SiBO2F after structural relaxation at the PBE level of DFT.

a = 3.4105 Å, b = 3.4105 Å, c = 3.5529 Å
α = 90.00°, β = 90.00°, γ = 90.00°
Sites, in units of the cell vectors:
Si  0.5000  0.5000  0.5000
B  0.0000  0.0000  0.0000
O  0.0000  0.5000  0.0000
O  0.5000  0.0000  0.0000
F  0.0000  0.0000  0.5000

Values from the calculation:
**Raw formation energy**: -3.7 eV/f.u.
**Volume**: 8.265 A^3/atom


No. 6
Computed, not measured: SiBOF2 after structural relaxation at the PBE level of DFT.

a = 4.5273 Å, b = 4.5273 Å, c = 2.6183 Å
α = 90.00°, β = 90.00°, γ = 90.00°
Sites, in units of the cell vectors:
Si  0.5000  0.5000  0.5000
B  0.0000  0.0000  0.0000
O  0.0000  0.0000  0.5000
F  0.0000  0.5000  0.0000
F  0.5000  0.0000  0.0000

Values from the calculation:
**Raw formation energy**: -5.5 eV/f.u.
**Volume**: 10.733 A^3/atom
**Relative energy among the computed polymorphs**: 0 meV/atom


No. 7
Computed, not measured: SiBO2F after structural relaxation at the PBE level of DFT.

a = 3.4909 Å, b = 3.4909 Å, c = 3.7467 Å
α = 90.00°, β = 90.00°, γ = 90.00°
Sites, in units of the cell vectors:
Si  0.0000  0.0000  0.0000
B  0.5000  0.5000  0.5000
O  0.0000  0.5000  0.0000
O  0.5000  0.0000  0.0000
F  0.0000  0.0000  0.5000

Values from the calculation:
**Raw formation energy**: -4.5 eV/f.u.
**Volume**: 9.132 A^3/atom


No. 8
Computed, not measured: SrBO2F after structural relaxation at the PBE level of DFT.

a = 3.4297 Å, b = 3.4297 Å, c = 4.1150 Å
α = 90.00°, β = 90.00°, γ = 90.00°
Sites, in units of the cell vectors:
Sr  0.5000  0.5000  0.5000
B  0.0000  0.0000  0.0000
O  0.0000  0.5000  0.0000
O  0.5000  0.0000  0.0000
F  0.0000  0.0000  0.5000

Values from the calculation:
**Raw formation energy**: -9.8 eV/f.u.
**Volume**: 9.681 A^3/atom


No. 9
Computed, not measured: SrBO2F after structural relaxation at the PBE level of DFT.

a = 4.7137 Å, b = 4.7137 Å, c = 4.6543 Å
α = 90.00°, β = 90.00°, γ = 90.00°
Sites, in units of the cell vectors:
Sr  0.0000  0.0000  0.0000
B  0.5000  0.5000  0.5000
O  0.0000  0.5000  0.0000
O  0.5000  0.0000  0.0000
F  0.0000  0.0000  0.5000

Values from the calculation:
**Raw formation energy**: 0.0 eV/f.u.
**Volume**: 20.682 A^3/atom


No. 10
Computed, not measured: TaBOF2 after structural relaxation at the PBE level of DFT.

a = 4.6375 Å, b = 4.6375 Å, c = 2.6281 Å
α = 90.00°, β = 90.00°, γ = 90.00°
Sites, in units of the cell vectors:
B  0.0000  0.0000  0.0000
F  0.0000  0.5000  0.0000
F  0.5000  0.0000  0.0000
O  0.0000  0.0000  0.5000
Ta  0.5000  0.5000  0.5000

Values from the calculation:
**Raw formation energy**: -3.6 eV/f.u.
**Volume**: 11.304 A^3/atom


No. 11
Computed, not measured: Ta2BOF after structural relaxation at the PBE level of DFT.

a = 4.5657 Å, b = 3.1600 Å, c = 4.5657 Å
α = 90.00°, β = 90.00°, γ = 90.00°
Sites, in units of the cell vectors:
B  0.0000  0.0000  0.0000
F  0.5000  0.5000  0.5000
O  0.0000  0.5000  0.0000
Ta  0.0000  0.0000  0.5000
Ta  0.5000  0.0000  0.0000

Values from the calculation:
**Raw formation energy**: 1.8 eV/f.u.
**Volume**: 13.174 A^3/atom


No. 12
Computed, not measured: TcBO2F after structural relaxation at the PBE level of DFT.

a = 3.8094 Å, b = 3.8094 Å, c = 4.2750 Å
α = 90.00°, β = 90.00°, γ = 90.00°
Sites, in units of the cell vectors:
B  0.5000  0.5000  0.5000
Tc  0.0000  0.0000  0.0000
O  0.0000  0.5000  0.0000
O  0.5000  0.0000  0.0000
F  0.0000  0.0000  0.5000

Values from the calculation:
**Raw formation energy**: -1.1 eV/f.u.
**Volume**: 12.407 A^3/atom


No. 13
Computed, not measured: TcBO2F after structural relaxation at the PBE level of DFT.

a = 3.3946 Å, b = 3.3946 Å, c = 3.9524 Å
α = 90.00°, β = 90.00°, γ = 90.00°
Sites, in units of the cell vectors:
B  0.0000  0.0000  0.0000
Tc  0.5000  0.5000  0.5000
O  0.0000  0.5000  0.0000
O  0.5000  0.0000  0.0000
F  0.0000  0.0000  0.5000

Values from the calculation:
**Raw formation energy**: -1.6 eV/f.u.
**Volume**: 9.109 A^3/atom


No. 14
Computed, not measured: TcBOF2 after structural relaxation at the PBE level of DFT.

a = 4.1856 Å, b = 4.1856 Å, c = 3.7604 Å
α = 90.00°, β = 90.00°, γ = 90.00°
Sites, in units of the cell vectors:
B  0.5000  0.5000  0.5000
Tc  0.0000  0.0000  0.0000
O  0.0000  0.0000  0.5000
F  0.0000  0.5000  0.0000
F  0.5000  0.0000  0.0000

Values from the calculation:
**Raw formation energy**: -1.3 eV/f.u.
**Volume**: 13.176 A^3/atom
**Relative energy among the computed polymorphs**: 466 meV/atom


No. 15
Computed, not measured: TcBOF2 after structural relaxation at the PBE level of DFT.

a = 4.5045 Å, b = 4.5045 Å, c = 2.6685 Å
α = 90.00°, β = 90.00°, γ = 90.00°
Sites, in units of the cell vectors:
B  0.0000  0.0000  0.0000
Tc  0.5000  0.5000  0.5000
O  0.0000  0.0000  0.5000
F  0.0000  0.5000  0.0000
F  0.5000  0.0000  0.0000

Values from the calculation:
**Raw formation energy**: -3.6 eV/f.u.
**Volume**: 10.829 A^3/atom
**Relative energy among the computed polymorphs**: 0 meV/atom


No. 16
Computed, not measured: BTeOF2 after structural relaxation at the PBE level of DFT.

a = 4.9154 Å, b = 4.9154 Å, c = 2.6651 Å
α = 90.00°, β = 90.00°, γ = 90.00°
Sites, in units of the cell vectors:
B  0.0000  0.0000  0.0000
Te  0.5000  0.5000  0.5000
O  0.0000  0.0000  0.5000
F  0.0000  0.5000  0.0000
F  0.5000  0.0000  0.0000

Values from the calculation:
**Raw formation energy**: -4.8 eV/f.u.
**Volume**: 12.879 A^3/atom
**Relative energy among the computed polymorphs**: 0 meV/atom


No. 17
Computed, not measured: BTe3O3F15 after structural relaxation at the PBE level of DFT.

a = 9.3956 Å, b = 9.3956 Å, c = 9.4957 Å
α = 90.00°, β = 90.00°, γ = 120.00°
Sites, in units of the cell vectors:
B  0.6667  0.3333  0.7500
B  0.3333  0.6667  0.2500
Te  0.6428  0.9970  0.2500
Te  0.6457  0.6428  0.7500
Te  0.9970  0.3543  0.7500
Te  0.3543  0.3572  0.2500
Te  0.3572  0.0030  0.7500
Te  0.0030  0.6457  0.2500
O  0.5878  0.1639  0.7500
O  0.4122  0.8361  0.2500
O  0.1639  0.5761  0.2500
O  0.8361  0.4239  0.7500
O  0.4239  0.5878  0.2500
O  0.5761  0.4122  0.7500
F  0.1976  0.3103  0.1092
F  0.8873  0.1976  0.6092
F  0.1140  0.5124  0.8875
F  0.6015  0.1140  0.1125
F  0.3985  0.8860  0.8875
F  0.6897  0.8873  0.1092
F  0.1140  0.5124  0.6125
F  0.8394  0.7030  0.2500
F  0.6015  0.1140  0.3875
F  0.4876  0.6015  0.6125
F  0.1364  0.8394  0.7500
F  0.2970  0.1364  0.2500
F  0.5124  0.3985  0.3875
F  0.7030  0.8636  0.7500
F  0.3103  0.1127  0.6092
F  0.8024  0.6897  0.6092
F  0.8024  0.6897  0.8908
F  0.3103  0.1127  0.8908
F  0.1976  0.3103  0.3908
F  0.1127  0.8024  0.1092
F  0.1127  0.8024  0.3908
F  0.8636  0.1606  0.2500
F  0.4876  0.6015  0.8875
F  0.3985  0.8860  0.6125
F  0.1606  0.2970  0.7500
F  0.6897  0.8873  0.3908
F  0.8860  0.4876  0.1125
F  0.8860  0.4876  0.3875
F  0.5124  0.3985  0.1125
F  0.8873  0.1976  0.8908

Values from the calculation:
**Raw formation energy**: -43.1 eV/f.u.
**Volume**: 16.499 A^3/atom


No. 18
Computed, not measured: BTeOF2 after structural relaxation at the PBE level of DFT.

a = 4.5422 Å, b = 4.5422 Å, c = 4.1044 Å
α = 90.00°, β = 90.00°, γ = 90.00°
Sites, in units of the cell vectors:
B  0.5000  0.5000  0.5000
Te  0.0000  0.0000  0.0000
O  0.0000  0.0000  0.5000
F  0.0000  0.5000  0.0000
F  0.5000  0.0000  0.0000

Values from the calculation:
**Raw formation energy**: -0.3 eV/f.u.
**Volume**: 16.936 A^3/atom
**Relative energy among the computed polymorphs**: 892 meV/atom


No. 19
Computed, not measured: TiBO2F after structural relaxation at the PBE level of DFT.

a = 3.8484 Å, b = 3.8484 Å, c = 3.9547 Å
α = 90.00°, β = 90.00°, γ = 90.00°
Sites, in units of the cell vectors:
B  0.5000  0.5000  0.5000
F  0.0000  0.0000  0.5000
O  0.0000  0.5000  0.0000
O  0.5000  0.0000  0.0000
Ti  0.0000  0.0000  0.0000

Values from the calculation:
**Raw formation energy**: -6.5 eV/f.u.
**Volume**: 11.714 A^3/atom


No. 20
Computed, not measured: TiBO2F after structural relaxation at the PBE level of DFT.

a = 3.3281 Å, b = 3.3281 Å, c = 3.7103 Å
α = 90.00°, β = 90.00°, γ = 90.00°
Sites, in units of the cell vectors:
B  0.0000  0.0000  0.0000
F  0.0000  0.0000  0.5000
O  0.0000  0.5000  0.0000
O  0.5000  0.0000  0.0000
Ti  0.5000  0.5000  0.5000

Values from the calculation:
**Raw formation energy**: -6.2 eV/f.u.
**Volume**: 8.219 A^3/atom


No. 21
Computed, not measured: TlBO2F after structural relaxation at the PBE level of DFT.

a = 3.2940 Å, b = 3.2940 Å, c = 5.3915 Å
α = 90.00°, β = 90.00°, γ = 90.00°
Sites, in units of the cell vectors:
Tl  0.5000  0.5000  0.5000
B  0.0000  0.0000  0.0000
O  0.0000  0.5000  0.0000
O  0.5000  0.0000  0.0000
F  0.0000  0.0000  0.5000

Values from the calculation:
**Raw formation energy**: -3.8 eV/f.u.
**Volume**: 11.700 A^3/atom


No. 22
Computed, not measured: TlBO2F after structural relaxation at the PBE level of DFT.

a = 4.2037 Å, b = 4.2037 Å, c = 4.5379 Å
α = 90.00°, β = 90.00°, γ = 90.00°
Sites, in units of the cell vectors:
Tl  0.0000  0.0000  0.0000
B  0.5000  0.5000  0.5000
O  0.0000  0.5000  0.0000
O  0.5000  0.0000  0.0000
F  0.0000  0.0000  0.5000

Values from the calculation:
**Raw formation energy**: 2.9 eV/f.u.
**Volume**: 16.038 A^3/atom